Run w
BeSb2P: relaxed, PBE.

Cell: 3.9433 5.5264 3.7877 Å, 90.00 90.00 90.00°
Sites, in units of the cell vectors:
Sb 0.0000 0.0000 0.0000
Sb 0.5000 0.5000 0.0000
Be 0.5000 0.0000 0.5000
P 0.0000 0.5000 0.5000

Output
Space group: Pmmm
Size of the total moment, μB/f.u.: 0.0

---

Run x
BeSb2P: relaxed, PBE.

Cell: 4.8741 4.8741 4.8741 Å, 60.00 60.00 60.00°
Sites, in units of the cell vectors:
Sb 0.0000 0.0000 0.0000
Sb 0.2500 0.2500 0.2500
Be 0.5000 0.5000 0.5000
P 0.7500 0.7500 0.7500

Output
Space group: F-43m
Size of the total moment, μB/f.u.: 0.0

---

Compare the structures above. Which one is the least stable? run x is.